1.
A relaxed ErSc2Cd crystal. Source: Alexandria, functional PBE.

Cell and atoms, written as extended XYZ:
```
8
Lattice="3.3667 -0.3533 0.0000 1.0246 9.7279 0.0000 1.6834 -0.1767 6.0561" Properties=species:S:1:pos:R:3 pbc="T T T"
Er 3.6229 2.0787 0.4153
Sc 3.3966 -0.0773 4.4753
Er 2.4518 7.1193 5.6408
Cd 1.9395 2.2553 3.1518
Sc 3.8492 4.2346 4.4753
Sc 2.2255 4.9633 1.5808
Sc 2.6781 9.2752 1.5808
Cd 4.1352 6.9426 2.9043
```

Summary:
relative energy among the computed polymorphs	23.1	meV per atom
ΔE_f	-0.11	eV/atom
raw total energy	-4.643	eV/atom
volume	25.1	Å³/atom

2.
A relaxed SrLi2O crystal. Source: Alexandria, functional PBE.

Cell and atoms, written as extended XYZ:
```
8
Lattice="6.3153 0.0000 0.0000 0.0000 6.3153 0.0000 3.1576 3.1576 4.4747" Properties=species:S:1:pos:R:3 pbc="T T T"
Sr 6.3153 3.1576 2.2373
Li 4.7365 6.3152 3.3560
O 3.1576 6.3153 2.2373
Sr 0.0000 0.0000 0.0000
O 3.1576 3.1576 0.0000
Li 3.1577 1.5788 1.1187
Li 3.1576 4.7365 1.1187
Li 7.8941 6.3153 3.3560
```

Summary:
formation energy (no corrections)	-0.9193	eV/atom
raw total energy	-3.536	eV/atom
volume	22.3	Å³/atom